Record 1
Here is an optimized crystal structure of CsRb2Na2Hg2 from Alexandria. Energies are from PBE-GGA.

Properties
ΔE_f: -0.125 eV per atom

Lattice parameters (Å, degrees): 5.565 5.565 13.889 101.42 90.00 120.00
Positions (direct):
Cs: 0.000 0.000 0.000
Rb: 0.121 0.242 0.367
Rb: 0.879 0.758 0.633
Na: 0.604 0.208 0.809
Na: 0.396 0.792 0.191
Hg: 0.731 0.462 0.196
Hg: 0.269 0.538 0.804

Record 2
Here is an optimized crystal structure of K8Rb from Alexandria. Energies are from PBE-GGA.

Properties
ΔE_f: 0.002 eV per atom

Lattice parameters (Å, degrees): 6.805 10.464 10.464 83.93 71.03 71.03
Positions (direct):
K: 0.331 0.000 0.338
K: 0.669 0.000 0.662
K: 0.669 0.662 0.000
K: 0.000 0.664 0.336
K: 0.336 0.664 0.664
K: 0.664 0.336 0.336
K: 0.000 0.336 0.664
K: 0.331 0.338 0.000
Rb: 0.000 0.000 0.000

Record 3
Here is an optimized crystal structure of SiSb from Alexandria. Energies are from PBE-GGA.

Properties
Raw total energy: -4.312 eV/atom

Lattice parameters (Å, degrees): 9.970 9.970 5.300 90.00 90.00 90.00
Positions (direct):
Si: 0.821 0.640 0.500
Si: 0.179 0.360 0.500
Si: 0.360 0.821 0.500
Si: 0.640 0.179 0.500
Si: 0.866 0.413 0.000
Si: 0.134 0.587 0.000
Si: 0.587 0.866 0.000
Si: 0.413 0.134 0.000
Sb: 0.809 0.379 0.500
Sb: 0.191 0.621 0.500
Sb: 0.621 0.809 0.500
Sb: 0.379 0.191 0.500
Sb: 0.886 0.685 0.000
Sb: 0.114 0.315 0.000
Sb: 0.315 0.886 0.000
Sb: 0.685 0.114 0.000

Record 4
Here is an optimized crystal structure of La2IrPtSe from Alexandria. Energies are from PBE-GGA.

Properties
Raw total energy: -5.857 eV/atom

Lattice parameters (Å, degrees): 5.595 4.560 5.595 90.00 90.00 90.00
Positions (direct):
Ir: 0.500 0.500 0.500
Se: 0.000 0.000 0.000
Pt: 0.000 0.500 0.000
La: 0.000 0.000 0.500
La: 0.500 0.000 0.000

Record 5
Here is an optimized crystal structure of NpZnGa4Cu2 from Alexandria. Energies are from PBE-GGA.

Properties
ΔE_f: 0.005 eV per atom

Lattice parameters (Å, degrees): 4.295 4.295 8.958 76.13 76.13 60.00
Positions (direct):
Np: 0.000 0.000 0.000
Zn: 0.500 0.500 0.500
Ga: 0.396 0.396 0.811
Ga: 0.875 0.875 0.374
Ga: 0.125 0.125 0.626
Ga: 0.604 0.604 0.189
Cu: 0.757 0.757 0.730
Cu: 0.243 0.243 0.270

Record 6
Here is an optimized crystal structure of CoW2Cl10 from Alexandria. Energies are from PBE-GGA.

Properties
Raw total energy: -4.719 eV/atom

Lattice parameters (Å, degrees): 9.040 9.040 13.176 86.57 86.57 139.84
Positions (direct):
Cl: 0.277 0.481 0.875
Cl: 0.019 0.223 0.625
Cl: 0.723 0.519 0.125
Cl: 0.981 0.777 0.375
Cl: 0.392 0.791 0.644
Cl: 0.709 0.108 0.856
Cl: 0.608 0.209 0.356
Cl: 0.291 0.892 0.144
Cl: 0.582 0.601 0.650
Cl: 0.899 0.918 0.850
Cl: 0.418 0.399 0.350
Cl: 0.101 0.082 0.150
Cl: 0.111 0.684 0.849
Cl: 0.816 0.389 0.651
Cl: 0.889 0.316 0.151
Cl: 0.184 0.611 0.349
Cl: 0.444 0.270 0.856
Cl: 0.230 0.056 0.644
Cl: 0.556 0.730 0.144
Cl: 0.770 0.944 0.356
Co: 0.564 0.936 0.250
Co: 0.436 0.064 0.750
W: 0.932 0.568 0.250
W: 0.068 0.432 0.750
W: 0.772 0.728 0.250
W: 0.228 0.272 0.750

Record 7
Here is an optimized crystal structure of SmSc2Fe from Alexandria. Energies are from PBE-GGA.

Properties
ΔE to the lowest computed polymorph: 0.000 eV/atom
ΔE_f: -0.041 eV per atom

Lattice parameters (Å, degrees): 3.201 3.201 8.539 90.00 90.00 90.00
Positions (direct):
Sc: 0.000 0.000 0.827
Sc: 0.000 0.000 0.173
Fe: 0.500 0.500 0.000
Sm: 0.500 0.500 0.500

Record 8
Here is an optimized crystal structure of Pm2ZnP3Pt4 from Alexandria. Energies are from PBE-GGA.

Properties
ΔE_f: -0.945 eV per atom

Lattice parameters (Å, degrees): 4.228 4.228 9.984 90.00 90.00 90.00
Positions (direct):
Pm: 0.500 0.000 0.245
Pm: 0.000 0.500 0.755
Zn: 0.500 0.500 0.500
P: 0.000 0.000 0.500
P: 0.500 0.000 0.866
P: 0.000 0.500 0.134
Pt: 0.500 0.500 0.000
Pt: 0.000 0.000 0.000
Pt: 0.500 0.000 0.633
Pt: 0.000 0.500 0.367

Record 9
Here is an optimized crystal structure of MnCr2Ag from Alexandria. Energies are from PBE-GGA.

Properties
ΔE to the lowest computed polymorph: 0.242 eV/atom
ΔE_f: 0.539 eV per atom

Lattice parameters (Å, degrees): 3.893 3.722 3.722 90.00 90.00 90.00
Positions (direct):
Ag: 0.500 0.000 0.500
Cr: 0.000 0.000 0.000
Cr: 0.000 0.500 0.500
Mn: 0.500 0.500 0.000

Record 10
Here is an optimized crystal structure of SrCoBi3 from Alexandria. Energies are from PBE-GGA.

Properties
ΔE to the lowest computed polymorph: 0.000 eV/atom
ΔE_f: -0.041 eV per atom

Lattice parameters (Å, degrees): 5.310 5.310 5.310 90.00 90.00 90.00
Positions (direct):
Sr: 0.500 0.500 0.500
Co: 0.000 0.000 0.000
Bi: 0.000 0.500 0.000
Bi: 0.000 0.000 0.500
Bi: 0.500 0.000 0.000

Record 11
Here is an optimized crystal structure of La6TlCd5 from Alexandria. Energies are from PBE-GGA.

Properties
ΔE_f: -0.347 eV per atom

Lattice parameters (Å, degrees): 5.566 7.917 9.668 65.83 72.97 90.00
Positions (direct):
Tl: 0.000 0.000 0.000
Cd: 0.668 0.169 0.663
Cd: 0.333 0.332 0.335
Cd: 0.000 0.500 0.000
Cd: 0.667 0.668 0.665
Cd: 0.332 0.831 0.337
La: 0.834 0.583 0.333
La: 0.834 0.084 0.333
La: 0.500 0.748 0.000
La: 0.500 0.252 0.000
La: 0.166 0.916 0.667
La: 0.166 0.417 0.667

| no. | magnetic moment (μB/f.u.) |
| --- | --- |
| 1 | 0.00 |
| 2 | 0.00 |
| 3 | 0.00 |
| 4 | 0.00 |
| 5 | 4.17 |
| 6 | 2.49 |
| 7 | 0.00 |
| 8 | 0.00 |
| 9 | 0.06 |
| 10 | 1.41 |
| 11 | 1.86 |